Entry from Alexandria via LeMat-Bulk: a geometry-optimized CePrPaGe structure (PBE-GGA).

Structure (CIF):
```
data_CePrPaGe
_symmetry_space_group_name_H-M 'F -4 3 m'
_symmetry_Int_Tables_number 216
_symmetry_space_group_name_Hall 'F -4 2 3'
_cell_length_a 7.461
_cell_length_b 7.461
_cell_length_c 7.461
_cell_angle_alpha 90.00
_cell_angle_beta 90.00
_cell_angle_gamma 90.00
loop_
_atom_site_label
_atom_site_fract_x
_atom_site_fract_y
_atom_site_fract_z
Ce1 0.000 0.000 0.000
Pr1 0.000 0.000 0.500
Pa1 0.250 0.250 0.250
Ge1 0.250 0.250 0.750
```

Summary:
Formation enthalpy at 0 K: 0.33 eV/f.u.
Fermi-level density of states: 2.102 states/eV per atom
M_tot: 2.6 μB/f.u.

=====

Entry from Alexandria via LeMat-Bulk: a geometry-optimized ZrP2SBr structure (PBE-GGA).

Structure (CIF):
```
data_ZrP2SBr
_symmetry_space_group_name_H-M 'P 4/m m m'
_symmetry_Int_Tables_number 123
_symmetry_space_group_name_Hall '-P 4 2'
_cell_length_a 5.166
_cell_length_b 5.166
_cell_length_c 4.864
_cell_angle_alpha 90.00
_cell_angle_beta 90.00
_cell_angle_gamma 90.00
loop_
_atom_site_label
_atom_site_fract_x
_atom_site_fract_y
_atom_site_fract_z
Zr1 0.000 0.000 0.000
P1 0.000 0.500 0.000
S1 0.000 0.000 0.500
Br1 0.500 0.500 0.500
```

Summary:
Fermi-level density of states: 0.795 states/eV per atom
ΔE_f (raw): 0.215 eV per atom
M_tot: 0.5 μB/f.u.

=====

Entry from Alexandria via LeMat-Bulk: a geometry-optimized LiMnPd5 structure (PBE-GGA).

Structure (CIF):
```
data_LiMnPd5
_symmetry_space_group_name_H-M 'C 1 2/c 1'
_symmetry_Int_Tables_number 15
_symmetry_space_group_name_Hall '-C 2yc'
_cell_length_a 11.710
_cell_length_b 7.234
_cell_length_c 5.105
_cell_angle_alpha 90.00
_cell_angle_beta 100.49
_cell_angle_gamma 90.00
loop_
_atom_site_label
_atom_site_fract_x
_atom_site_fract_y
_atom_site_fract_z
Li1 0.000 0.240 0.250
Mn1 0.250 0.250 0.000
Pd1 0.000 0.123 0.750
Pd2 0.107 0.456 0.661
Pd3 0.185 0.095 0.501
```

Summary:
Formation enthalpy at 0 K: -1.25 eV/f.u.
Fermi-level density of states: 1.001 states/eV per atom
M_tot: 4.6 μB/f.u.

=====

Entry from Alexandria via LeMat-Bulk: a geometry-optimized Pr2Nd3Dy7 structure (PBE-GGA).

Structure (CIF):
```
data_Pr2Nd3Dy7
_symmetry_space_group_name_H-M 'P 1 2/m 1'
_symmetry_Int_Tables_number 10
_symmetry_space_group_name_Hall '-P 2y'
_cell_length_a 6.403
_cell_length_b 3.559
_cell_length_c 17.699
_cell_angle_alpha 90.00
_cell_angle_beta 96.25
_cell_angle_gamma 90.00
loop_
_atom_site_label
_atom_site_fract_x
_atom_site_fract_y
_atom_site_fract_z
Pr1 0.055 0.000 0.173
Nd1 0.454 0.500 0.841
Nd2 0.500 0.000 0.500
Dy1 0.000 0.500 0.500
Dy2 0.226 0.000 0.665
Dy3 0.255 0.000 0.000
Dy4 0.273 0.500 0.337
```

Summary:
Formation enthalpy at 0 K: 1.00 eV/f.u.
Fermi-level density of states: 1.475 states/eV per atom
M_tot: 0.0 μB/f.u.

=====

Entry from Alexandria via LeMat-Bulk: a geometry-optimized La3CePm12 structure (PBE-GGA).

Structure (CIF):
```
data_La3CePm12
_symmetry_space_group_name_H-M 'P 4/m m m'
_symmetry_Int_Tables_number 123
_symmetry_space_group_name_Hall '-P 4 2'
_cell_length_a 5.181
_cell_length_b 5.181
_cell_length_c 20.692
_cell_angle_alpha 90.00
_cell_angle_beta 90.00
_cell_angle_gamma 90.00
loop_
_atom_site_label
_atom_site_fract_x
_atom_site_fract_y
_atom_site_fract_z
La1 0.000 0.000 0.000
La2 0.000 0.000 0.252
Ce1 0.000 0.000 0.500
Pm1 0.000 0.500 0.126
Pm2 0.000 0.500 0.379
Pm3 0.500 0.500 0.000
Pm4 0.500 0.500 0.252
Pm5 0.500 0.500 0.500
```

Summary:
Formation enthalpy at 0 K: 0.48 eV/f.u.
Fermi-level density of states: 1.786 states/eV per atom
M_tot: 0.9 μB/f.u.

=====

Entry from Alexandria via LeMat-Bulk: a geometry-optimized CaCd4Hg7 structure (PBE-GGA).

Structure (CIF):
```
data_CaCd4Hg7
_symmetry_space_group_name_H-M 'C 1 2/m 1'
_symmetry_Int_Tables_number 12
_symmetry_space_group_name_Hall '-C 2y'
_cell_length_a 12.578
_cell_length_b 6.208
_cell_length_c 9.430
_cell_angle_alpha 90.00
_cell_angle_beta 120.36
_cell_angle_gamma 90.00
loop_
_atom_site_label
_atom_site_fract_x
_atom_site_fract_y
_atom_site_fract_z
Ca1 0.000 0.000 0.000
Cd1 0.002 0.500 0.333
Cd2 0.247 0.500 0.330
Hg1 0.000 0.500 0.000
Hg2 0.001 0.000 0.339
Hg3 0.242 0.500 0.658
Hg4 0.248 0.500 0.001
```

Summary:
Formation enthalpy at 0 K: -0.83 eV/f.u.
Fermi-level density of states: 0.450 states/eV per atom
M_tot: 0.0 μB/f.u.

=====

Look up the M_tot of the fifth one. 0.9 μB/f.u.

=====

Look up the Fermi-level density of states of the first one. 2.102 states/eV per atom